Record 1
Pm6Sm2Se3: optimized geometry, GGA-PBE.

Summary:
total energy = -5.31 eV per atom
DOS(E_F) = 10.904 states/eV per cell
spin magnetization = 0.38 Bohr magnetons per cell

Cell: 3.905 3.905 25.959 Å, 85.69 85.69 60.00°
Each line ends with the local moment (μB).
Fractional positions:
Pm: 0.073 0.073 0.781  0.05
Pm: 0.927 0.927 0.219  0.05
Pm: 0.185 0.185 0.444  0.00
Pm: 0.815 0.815 0.556  0.00
Pm: 0.358 0.358 0.927  0.00
Pm: 0.642 0.642 0.073  0.00
Sm: 0.444 0.444 0.667  0.04
Sm: 0.556 0.556 0.333  0.04
Se: 0.000 0.000 0.000  0.00
Se: 0.285 0.285 0.145  0.00
Se: 0.715 0.715 0.855  0.00

Record 2
PmSmSe3: optimized geometry, GGA-PBE.

Summary:
total energy = -5.82 eV per atom
energy relative to the lowest polymorph listed for this composition = 0.003 eV/atom
spin magnetization = 0.00 Bohr magnetons per cell

Cell: 4.398 9.215 8.791 Å, 59.23 75.52 76.19°
Fractional positions:
Pm: 0.150 0.740 0.961
Pm: 0.850 0.260 0.039
Sm: 0.371 0.790 0.467
Sm: 0.629 0.210 0.533
Se: 0.046 0.136 0.773
Se: 0.954 0.864 0.227
Se: 0.642 0.526 0.189
Se: 0.358 0.474 0.811
Se: 0.737 0.843 0.684
Se: 0.263 0.157 0.316

Record 3
Pm3SmSe6: optimized geometry, GGA-PBE.

Summary:
total energy = -5.86 eV per atom
energy relative to the lowest polymorph listed for this composition = 0.000 eV/atom
spin magnetization = 0.00 Bohr magnetons per cell

Cell: 4.213 11.803 12.125 Å, 108.74 90.00 90.00°
Fractional positions:
Pm: 0.750 0.430 0.831
Pm: 0.250 0.570 0.169
Pm: 0.750 0.682 0.503
Pm: 0.250 0.318 0.497
Pm: 0.750 0.160 0.083
Pm: 0.250 0.840 0.917
Sm: 0.750 0.043 0.690
Sm: 0.250 0.957 0.310
Se: 0.750 0.481 0.615
Se: 0.250 0.519 0.385
Se: 0.750 0.916 0.101
Se: 0.250 0.084 0.899
Se: 0.750 0.399 0.065
Se: 0.250 0.601 0.935
Se: 0.750 0.749 0.278
Se: 0.250 0.251 0.722
Se: 0.750 0.111 0.464
Se: 0.250 0.889 0.536
Se: 0.750 0.811 0.750
Se: 0.250 0.189 0.250

Record 4
Pm2Sm6Se3: optimized geometry, GGA-PBE.

Summary:
total energy = -5.30 eV per atom
DOS(E_F) = 10.944 states/eV per cell
spin magnetization = 0.18 Bohr magnetons per cell

Cell: 3.886 3.886 25.910 Å, 85.70 85.70 60.00°
Fractional positions:
Pm: 0.444 0.444 0.668
Pm: 0.556 0.556 0.332
Sm: 0.073 0.073 0.781
Sm: 0.927 0.927 0.219
Sm: 0.185 0.185 0.445
Sm: 0.815 0.815 0.555
Sm: 0.358 0.358 0.927
Sm: 0.642 0.642 0.073
Se: 0.000 0.000 0.000
Se: 0.285 0.285 0.145
Se: 0.715 0.715 0.855

Record 5
PmSmSe2: optimized geometry, GGA-PBE.

Summary:
total energy = -5.94 eV per atom
DOS(E_F) = 1.924 states/eV per cell
energy relative to the lowest polymorph listed for this composition = 0.000 eV/atom
spin magnetization = 0.00 Bohr magnetons per cell

Cell: 4.195 4.195 7.218 Å, 73.11 73.11 60.00°
Fractional positions:
Se: 0.249 0.249 0.252
Se: 0.751 0.751 0.748
Sm: 0.500 0.500 0.500
Pm: 0.000 0.000 0.000

Record 6
PmSm3Se4: optimized geometry, GGA-PBE.

Summary:
total energy = -5.93 eV per atom
DOS(E_F) = 4.929 states/eV per cell
energy relative to the lowest polymorph listed for this composition = 0.000 eV/atom
spin magnetization = 0.00 Bohr magnetons per cell

Cell: 4.135 7.265 7.265 Å, 108.95 90.00 90.00°
Fractional positions:
Pm: 0.500 0.000 0.000
Sm: 0.000 0.000 0.500
Sm: 0.500 0.500 0.500
Sm: 0.000 0.500 0.000
Se: 0.000 0.251 0.251
Se: 0.500 0.749 0.251
Se: 0.000 0.749 0.749
Se: 0.500 0.251 0.749

Record 7
PmSm2Se3: optimized geometry, GGA-PBE.

Summary:
total energy = -5.93 eV per atom
DOS(E_F) = 2.637 states/eV per cell
energy relative to the lowest polymorph listed for this composition = 0.000 eV/atom
spin magnetization = 0.00 Bohr magnetons per cell

Cell: 4.197 5.901 7.231 Å, 114.08 106.87 90.00°
Fractional positions:
Pm: 0.500 0.500 0.500
Sm: 0.834 0.834 0.169
Sm: 0.166 0.166 0.831
Se: 0.832 0.332 0.164
Se: 0.168 0.668 0.836
Se: 0.500 0.000 0.500

Record 8
Pm4SmSe6: optimized geometry, GGA-PBE.

Summary:
total energy = -5.76 eV per atom
DOS(E_F) = 11.523 states/eV per cell
spin magnetization = 0.00 Bohr magnetons per cell

Cell: 8.327 8.327 8.327 Å, 88.85 88.85 91.15°
Fractional positions:
Pm: 0.362 0.138 0.250
Pm: 0.862 0.250 0.362
Pm: 0.250 0.638 0.138
Pm: 0.250 0.250 0.750
Pm: 0.750 0.750 0.250
Pm: 0.750 0.362 0.862
Pm: 0.138 0.750 0.638
Pm: 0.638 0.862 0.750
Sm: 0.500 0.500 0.500
Sm: 0.000 0.000 0.000
Se: 0.676 0.061 0.088
Se: 0.088 0.324 0.061
Se: 0.588 0.439 0.176
Se: 0.939 0.088 0.676
Se: 0.561 0.176 0.588
Se: 0.176 0.412 0.439
Se: 0.824 0.588 0.561
Se: 0.439 0.824 0.412
Se: 0.061 0.912 0.324
Se: 0.412 0.561 0.824
Se: 0.912 0.676 0.939
Se: 0.324 0.939 0.912

Record 9
PmSmSe2: optimized geometry, GGA-PBE.

Summary:
total energy = -5.72 eV per atom
DOS(E_F) = 2.766 states/eV per cell
energy relative to the lowest polymorph listed for this composition = 0.217 eV/atom
spin magnetization = 0.00 Bohr magnetons per cell

Cell: 5.123 5.123 5.123 Å, 60.00 60.00 60.00°
Fractional positions:
Se: 0.250 0.250 0.250
Se: 0.750 0.750 0.750
Sm: 0.500 0.500 0.500
Pm: 0.000 0.000 0.000

Record 10
Pm4Sm3Se8: optimized geometry, GGA-PBE.

Summary:
total energy = -5.94 eV per atom
DOS(E_F) = 6.682 states/eV per cell
spin magnetization = 0.00 Bohr magnetons per cell

Cell: 8.346 8.344 8.344 Å, 90.00 120.01 120.01°
Fractional positions:
Pm: 0.500 0.000 0.000
Pm: 0.000 0.500 0.000
Pm: 0.000 0.000 0.000
Pm: 0.000 0.000 0.500
Sm: 0.500 0.500 0.000
Sm: 0.500 0.000 0.500
Sm: 0.500 0.500 0.500
Se: 0.507 0.254 0.254
Se: 0.000 0.746 0.254
Se: 0.001 0.254 0.254
Se: 0.500 0.749 0.251
Se: 0.500 0.251 0.749
Se: 0.999 0.746 0.746
Se: 0.000 0.254 0.746
Se: 0.493 0.746 0.746

Record 11
Pm3Sm2Se4: optimized geometry, GGA-PBE.

Summary:
total energy = -5.77 eV per atom
DOS(E_F) = 5.861 states/eV per cell
spin magnetization = 0.00 Bohr magnetons per cell

Cell: 4.153 7.199 9.206 Å, 74.80 76.96 73.24°
Fractional positions:
Pm: 0.000 0.000 0.000
Pm: 0.200 0.392 0.207
Pm: 0.800 0.608 0.793
Sm: 0.597 0.207 0.600
Sm: 0.403 0.793 0.400
Se: 0.802 0.089 0.306
Se: 0.198 0.911 0.694
Se: 0.397 0.305 0.902
Se: 0.603 0.695 0.098

Record 12
PmSm3Se4: optimized geometry, GGA-PBE.

Summary:
total energy = -5.92 eV per atom
DOS(E_F) = 9.996 states/eV per cell
energy relative to the lowest polymorph listed for this composition = 0.009 eV/atom
spin magnetization = 0.00 Bohr magnetons per cell

Cell: 4.132 4.132 27.986 Å, 90.00 90.00 120.00°
Fractional positions:
Se: 0.667 0.333 0.938
Se: 0.333 0.667 0.062
Se: 0.333 0.667 0.438
Se: 0.667 0.333 0.562
Se: 0.000 0.000 0.815
Se: 0.000 0.000 0.185
Se: 0.000 0.000 0.315
Se: 0.000 0.000 0.685
Sm: 0.000 0.000 0.000
Sm: 0.000 0.000 0.500
Sm: 0.333 0.667 0.876
Sm: 0.667 0.333 0.124
Sm: 0.667 0.333 0.376
Sm: 0.333 0.667 0.624
Pm: 0.667 0.333 0.750
Pm: 0.333 0.667 0.250